No. 1
Entry from the Open Quantum Materials Database: crystalline PmPIrO at its relaxed geometry (PBE).

Computed properties:
- Distance to the lowest polymorph of the same formula: 668 meV/atom
- Crystal system: orthorhombic

Lattice parameters (Å, degrees): 3.339 7.656 5.252 90.00 90.00 90.00
Space group Pmc2_1 (No. 26)
Unique sites:
1 Pm 0.000 0.161 0.000
2 P 0.000 0.443 0.486
3 Ir 0.500 0.249 0.501
4 O 0.500 0.010 0.737

No. 2
Entry from the Open Quantum Materials Database: crystalline PmPIrO at its relaxed geometry (PBE).

Computed properties:
- Distance to the lowest polymorph of the same formula: 0 meV/atom
- Crystal system: tetragonal

Lattice parameters (Å, degrees): 3.984 3.984 8.332 90.00 90.00 90.00
Space group P4/nmm (No. 129, origin choice 2)
Unique sites:
1 Pm 0.250 0.250 0.141
2 P 0.250 0.250 0.656
3 Ir 0.250 0.750 0.500
4 O 0.250 0.750 0.000

No. 3
Entry from the Open Quantum Materials Database: crystalline PmPIrO at its relaxed geometry (PBE).

Computed properties:
- Distance to the lowest polymorph of the same formula: 1218 meV/atom
- Crystal system: tetragonal

Lattice parameters (Å, degrees): 5.967 5.967 4.433 90.00 90.00 90.00
Space group P4/nmm (No. 129, origin choice 2)
Unique sites:
1 Pm 0.250 0.750 0.000
2 P 0.250 0.250 0.151
3 Ir 0.250 0.250 0.656
4 O 0.250 0.750 0.500

No. 4
Entry from the Open Quantum Materials Database: crystalline PmPIrO at its relaxed geometry (PBE).

Computed properties:
- Distance to the lowest polymorph of the same formula: 1283 meV/atom
- Crystal system: tetragonal

Lattice parameters (Å, degrees): 5.491 5.491 4.551 90.00 90.00 90.00
Space group P4/nmm (No. 129, origin choice 2)
Unique sites:
1 Pm 0.250 0.750 0.000
2 P 0.250 0.250 0.003
3 Ir 0.250 0.250 0.502
4 O 0.250 0.750 0.500

No. 5
Entry from the Open Quantum Materials Database: crystalline PrSmP2Ir2O2 at its relaxed geometry (PBE).

Computed properties:
- Total DFT energy (no corrections): -63.316 eV per cell
- Crystal system: tetragonal

Lattice parameters (Å, degrees): 3.995 3.995 8.360 90.00 90.00 90.00
Space group P4mm (No. 99)
Unique sites:
1 Pr 0.000 0.000 0.000
2 Sm 0.500 0.500 0.285
3 P 0.000 0.000 0.488
4 P 0.500 0.500 0.799
5 Ir 0.000 0.500 0.643
6 O 0.000 0.500 0.149

No. 6
Entry from the Open Quantum Materials Database: crystalline TbPrP2Ir2O2 at its relaxed geometry (PBE).

Computed properties:
- Total DFT energy (no corrections): -63.334 eV per cell
- Crystal system: tetragonal

Lattice parameters (Å, degrees): 3.979 3.979 8.224 90.00 90.00 90.00
Space group P4mm (No. 99)
Unique sites:
1 Tb 0.000 0.000 0.000
2 Pr 0.500 0.500 0.718
3 P 0.000 0.000 0.517
4 P 0.500 0.500 0.200
5 Ir 0.000 0.500 0.358
6 O 0.000 0.500 0.870

No. 7
Entry from the Open Quantum Materials Database: crystalline Pr2ZrP2IrO2 at its relaxed geometry (PBE).

Computed properties:
- Total DFT energy (no corrections): -63.726 eV per cell
- Crystal system: tetragonal

Lattice parameters (Å, degrees): 4.082 4.082 8.789 90.00 90.00 90.00
Space group P-4m2 (No. 115)
Unique sites:
1 Pr 0.000 0.500 0.135
2 Zr 0.500 0.500 0.500
3 P 0.000 0.500 0.672
4 Ir 0.000 0.000 0.500
5 O 0.000 0.000 0.000
6 O 0.500 0.500 0.000

No. 8
Entry from the Open Quantum Materials Database: crystalline PIrPtO at its relaxed geometry (PBE).

Computed properties:
- Distance to the lowest polymorph of the same formula: 0 meV/atom
- Crystal system: orthorhombic

Lattice parameters (Å, degrees): 3.789 5.795 5.503 90.00 90.00 90.00
Space group Pmc2_1 (No. 26)
Unique sites:
1 P 0.000 0.242 0.000
2 Ir 0.000 0.366 0.607
3 Pt 0.500 0.010 0.043
4 O 0.500 0.360 0.535